[1]
First-principles (GGA-PBE) data for a geometry-optimized LaCeNi structure, as listed in Alexandria.

- Calculated density: 7.86 g/cm3
- Total DFT energy (no corrections): -17.0 eV/f.u.
- ΔH_f (0 K): -0.13 eV per atom
- ΔE to the lowest computed polymorph: 0 meV per atom

Cell and atoms, written as CIF:
```
data_LaCeNi
_symmetry_space_group_name_H-M 'P 1'
_symmetry_Int_Tables_number 1
_cell_length_a 3.580
_cell_length_b 3.580
_cell_length_c 11.133
_cell_angle_alpha 90.00
_cell_angle_beta 90.00
_cell_angle_gamma 90.00
loop_
_symmetry_equiv_pos_as_xyz
'x,y,z'
loop_
_atom_site_label
_atom_site_fract_x
_atom_site_fract_y
_atom_site_fract_z
La1 0.000 0.000 0.000
La2 0.500 0.500 0.500
Ce1 0.000 0.000 0.708
Ce2 0.500 0.500 0.208
Ni1 0.000 0.000 0.321
Ni2 0.500 0.500 0.821
```

[2]
First-principles (GGA-PBE) data for a geometry-optimized RbZrRuSe2 structure, as listed in Alexandria.

- Formation energy without anion corrections: 0.73 eV per atom
- Calculated density: 3.66 g/cm3
- Total DFT energy (no corrections): -22.1 eV/f.u.

Cell and atoms, written as CIF:
```
data_RbZrRuSe2
_symmetry_space_group_name_H-M 'P 1'
_symmetry_Int_Tables_number 1
_cell_length_a 5.201
_cell_length_b 5.201
_cell_length_c 7.312
_cell_angle_alpha 90.00
_cell_angle_beta 90.00
_cell_angle_gamma 90.00
loop_
_symmetry_equiv_pos_as_xyz
'x,y,z'
loop_
_atom_site_label
_atom_site_fract_x
_atom_site_fract_y
_atom_site_fract_z
Rb1 0.000 0.000 0.000
Zr1 0.000 0.000 0.500
Ru1 0.500 0.500 0.000
Se1 0.000 0.500 0.500
Se2 0.500 0.000 0.500
```